Y3GaAu2 | PBE | optimized geometry

```
data_Y3GaAu2
_chemical_formula_sum 'Y3 Ga1 Au2'
_symmetry_space_group_name_H-M 'P 4/m m m'
_symmetry_Int_Tables_number 123
_symmetry_space_group_name_Hall '-P 4 2'
_cell_length_a 3.5844
_cell_length_b 3.5844
_cell_length_c 10.9177
_cell_angle_alpha 90.00
_cell_angle_beta 90.00
_cell_angle_gamma 90.00
loop_
_atom_site_label
_atom_site_fract_x
_atom_site_fract_y
_atom_site_fract_z
Y1 0.0000 0.0000 0.0000
Y2 0.0000 0.0000 0.3339
Ga1 0.5000 0.5000 0.5000
Au1 0.5000 0.5000 0.1699
```

Values from the calculation:
- Crystal system: tetragonal
- Calculated density: 8.646 g cm⁻³
- Energy of formation: -0.7774 eV per atom